(1)
Below is crystalline Pr4SmY2Er2 at its relaxed geometry, with properties calculated at the PBE-GGA level.

Cell: 5.1249 8.1191 8.1001 Å, 107.30 90.00 108.40°
Element x y z (fractional)
Er1 0.3319 0.6638 0.0005
Y1 0.1118 0.2235 0.6698
Sm1 0.0000 0.0000 0.0000
Pr1 0.2226 0.4452 0.3302
Pr2 0.4458 0.8916 0.6703
Pr3 0.5542 0.1084 0.3297
Er2 0.6681 0.3362 0.9995
Y2 0.8882 0.7765 0.3302
Pr4 0.7774 0.5548 0.6698

Summary:
* DFT formation energy: 0.02 eV/atom
* ρ: 6.70 g cm⁻³

(2)
Below is crystalline ZrFeBRu2 at its relaxed geometry, with properties calculated at the PBE-GGA level.

Cell: 4.7647 4.2897 4.7647 Å, 90.00 90.00 90.00°
Site moments in Bohr magnetons follow the coordinates.
Element x y z (fractional)
Ru1 0.0000 0.0000 0.5000  -0.18
Zr1 0.0000 0.0000 0.0000  0.02
Ru2 0.5000 0.0000 0.0000  -0.23
B1 0.0000 0.5000 0.0000  0.01
Fe1 0.5000 0.5000 0.5000  0.03

Summary:
* DFT formation energy: 2.26 eV/atom
* ρ: 6.14 g cm⁻³
* energy above the lowest structure with this stoichiometry: 2631 meV per atom

(3)
Below is crystalline PmMgOsO6 at its relaxed geometry, with properties calculated at the PBE-GGA level.

Cell: 5.2334 5.2334 10.0294 Å, 90.00 90.00 120.00°
Site moments in Bohr magnetons follow the coordinates.
Element x y z (fractional)
O1 0.3479 0.9742 0.6428  0.03
Pm1 0.0000 0.0000 0.5000  0.03
O2 0.0258 0.3737 0.6428  0.03
Mg1 0.3333 0.6667 0.2500  0.01
O3 0.6521 0.6263 0.1428  0.03
O4 0.6263 0.9742 0.8572  0.03
O5 0.3737 0.0258 0.1428  0.03
O6 0.9742 0.3479 0.1428  0.03
O7 0.0258 0.6521 0.8572  0.03
Mg2 0.6667 0.3333 0.7500  0.01
O8 0.6263 0.6521 0.6428  0.03
O9 0.3737 0.3479 0.3572  0.03
O10 0.6521 0.0258 0.3572  0.03
Pm2 0.0000 0.0000 0.0000  0.03
O11 0.9742 0.6263 0.3572  0.03
O12 0.3479 0.3737 0.8572  0.03
Os1 0.6667 0.3333 0.2500  0.62
Os2 0.3333 0.6667 0.7500  0.62

Summary:
* ρ: 6.36 g cm⁻³
* ΔE_f (raw): -2.03 eV per atom

(4)
Below is crystalline YMgPt at its relaxed geometry, with properties calculated at the PBE-GGA level.

Cell: 4.5538 4.5538 3.6608 Å, 90.00 90.00 120.00°
Element x y z (fractional)
Mg1 0.0000 0.0000 0.1667
Pt1 0.6667 0.3333 0.1664
Y1 0.3333 0.6667 0.6668

Summary:
* DFT formation energy: -0.72 eV/atom
* ρ: 7.79 g cm⁻³

(5)
Below is crystalline Hf4Ge2C at its relaxed geometry, with properties calculated at the PBE-GGA level.

Cell: 4.2752 4.2752 7.7773 Å, 74.05 74.05 90.00°
Element x y z (fractional)
Hf1 0.8360 0.8360 0.3280
Hf2 0.1640 0.1640 0.6720
Ge1 0.6424 0.6424 0.7153
Ge2 0.3576 0.3576 0.2847
C1 0.0000 0.0000 0.0000
Hf3 0.0000 0.5000 0.0000
Hf4 0.5000 0.0000 0.0000

Summary:
* DFT formation energy: -0.50 eV/atom
* ρ: 11.05 g cm⁻³
* energy above the lowest structure with this stoichiometry: 128 meV per atom

(6)
Below is crystalline Sc2TaAg at its relaxed geometry, with properties calculated at the PBE-GGA level.

Cell: 5.4961 5.4961 5.4961 Å, 135.54 135.54 64.69°
Element x y z (fractional)
Sc1 0.2500 0.7500 0.5000
Ta1 0.5000 0.5000 0.0000
Sc2 0.0000 0.0000 0.0000
Ag1 0.7500 0.2500 0.5000

Summary:
* DFT formation energy: 0.20 eV/atom
* ρ: 7.83 g cm⁻³
* energy above the lowest structure with this stoichiometry: 256 meV per atom

(7)
Below is crystalline PuScTlCd at its relaxed geometry, with properties calculated at the PBE-GGA level.

Cell: 5.2337 5.2337 5.2337 Å, 60.00 60.00 60.00°
Site moments in Bohr magnetons follow the coordinates.
Element x y z (fractional)
Pu1 0.2500 0.2500 0.2500  5.45
Tl1 0.0000 0.0000 0.0000  -0.02
Cd1 0.5000 0.5000 0.5000  0.04
Sc1 0.7500 0.7500 0.7500  0.36

Summary:
* DFT formation energy: -0.10 eV/atom
* ρ: 9.92 g cm⁻³

(8)
Below is crystalline CaPr6Sm2 at its relaxed geometry, with properties calculated at the PBE-GGA level.

Cell: 6.1296 6.1296 11.8333 Å, 90.00 90.00 120.00°
Element x y z (fractional)
Pr1 0.6657 0.0000 0.7457
Sm1 0.6667 0.3333 0.5000
Pr2 0.3343 0.3343 0.7457
Sm2 0.3333 0.6667 0.5000
Pr3 0.3343 0.0000 0.2543
Pr4 0.0000 0.3343 0.2543
Ca1 0.0000 0.0000 0.0000
Pr5 0.6657 0.6657 0.2543
Pr6 0.0000 0.6657 0.7457

Summary:
* DFT formation energy: 0.48 eV/atom
* ρ: 5.12 g cm⁻³

no.,total DFT energy (no corrections) (eV/atom)
1,-5.0793
2,-6.1914
3,-7.2920
4,-5.4188
5,-8.8293
6,-6.6382
7,-6.0823
8,-3.9815